CrBPO2 | GGA+U | relaxed

Summary:
volume = 14.13 A^3/atom
DOS at the Fermi energy = 0.49 states/eV per atom
size of the total moment = 2.93 μB per cell
polymorph energy (0 for the lowest one) = 0.00 eV/f.u.

Unit cell a=3.1704 b=3.1704 c=7.0270 alpha=90.00 beta=90.00 gamma=90.00
Closest atoms and distances in Å follow each position.
Space group P4/mmm (No. 123)
Asymmetric unit:
Cr (0.0000, 0.0000, 0.0000) (multiplicity 1)  4 P 2.24
B (0.5000, 0.5000, 0.5000) (multiplicity 1)  4 O 1.59
P (0.5000, 0.5000, 0.0000) (multiplicity 1)  4 Cr 2.24
O (0.0000, 0.5000, 0.5000) (multiplicity 2)  2 B 1.59

=====

CrBP2O | GGA+U | relaxed

Summary:
volume = 13.14 A^3/atom
DOS at the Fermi energy = 0.70 states/eV per atom
size of the total moment = 3.62 μB per cell
polymorph energy (0 for the lowest one) = 0.00 eV/f.u.

Unit cell a=4.9163 b=4.9163 c=2.7184 alpha=90.00 beta=90.00 gamma=90.00
Closest atoms and distances in Å follow each position.
Space group P4/mmm (No. 123)
Asymmetric unit:
Cr (0.0000, 0.0000, 0.0000) (multiplicity 1)  2 Cr 2.72, 8 P 2.81
B (0.5000, 0.5000, 0.5000) (multiplicity 1)  2 O 1.36
P (0.0000, 0.5000, 0.5000) (multiplicity 2)  2 B 2.46, 2 P 2.72
O (0.5000, 0.5000, 0.0000) (multiplicity 1)  2 B 1.36

=====

CrBPO2 | GGA+U | relaxed

Summary:
volume = 12.44 A^3/atom
DOS at the Fermi energy = 0.75 states/eV per atom
size of the total moment = 0.00 μB per cell
polymorph energy (0 for the lowest one) = 2.17 eV/f.u.

Unit cell a=3.4949 b=3.4949 c=5.0911 alpha=90.00 beta=90.00 gamma=90.00
Closest atoms and distances in Å follow each position.
Space group P4/mmm (No. 123)
Asymmetric unit:
Cr (0.0000, 0.0000, 0.0000) (multiplicity 1)  4 O 1.75
B (0.5000, 0.5000, 0.5000) (multiplicity 1)  4 P 2.47
P (0.0000, 0.0000, 0.5000) (multiplicity 1)  4 B 2.47, 2 Cr 2.55
O (0.0000, 0.5000, 0.0000) (multiplicity 2)  2 Cr 1.75

=====

CrBP2O | GGA+U | relaxed

Summary:
volume = 15.18 A^3/atom
DOS at the Fermi energy = 0.58 states/eV per atom
size of the total moment = 1.31 μB per cell
polymorph energy (0 for the lowest one) = 4.30 eV/f.u.

Unit cell a=4.6736 b=4.6736 c=3.4755 alpha=90.00 beta=90.00 gamma=90.00
Closest atoms and distances in Å follow each position.
Space group P4/mmm (No. 123)
Asymmetric unit:
Cr (0.0000, 0.0000, 0.0000) (multiplicity 1)  2 O 1.74
B (0.5000, 0.5000, 0.5000) (multiplicity 1)  8 P 2.91
P (0.0000, 0.5000, 0.0000) (multiplicity 2)  2 Cr 2.34
O (0.0000, 0.0000, 0.5000) (multiplicity 1)  2 Cr 1.74